(1)
This record from the Alexandria database describes crystalline AcLuInPb at its relaxed geometry. The functional is PBE.

The value obtained for the formation energy is -350 meV/atom. The value obtained for the density of states at the Fermi level is 0.683 states/eV per atom.

Unit cell a=5.6000 b=5.6000 c=5.6000 alpha=60.00 beta=60.00 gamma=60.00
Element x y z (fractional)
1 Ac 0.0000 0.0000 0.0000
2 Lu 0.5000 0.5000 0.5000
3 In 0.2500 0.2500 0.2500
4 Pb 0.7500 0.7500 0.7500

---

(2)
This record from the Alexandria database describes crystalline Tb2Pr6Sc at its relaxed geometry. The functional is PBE.

As for the energy above the lowest structure with this stoichiometry: 0.000 eV/atom. The value obtained for the formation energy is 34 meV/atom. The value obtained for the density of states at the Fermi level is 1.488 states/eV per atom.

Unit cell a=6.2690 b=6.2690 c=10.9198 alpha=106.33 beta=106.33 gamma=48.46
Element x y z (fractional)
1 Tb 0.1612 0.1612 0.2165
2 Tb 0.8388 0.8388 0.7835
3 Pr 0.1670 0.1670 0.5546
4 Pr 0.1691 0.1691 0.8930
5 Pr 0.4961 0.4961 0.3255
6 Pr 0.5039 0.5039 0.6745
7 Pr 0.8309 0.8309 0.1070
8 Pr 0.8330 0.8330 0.4454
9 Sc 0.5000 0.5000 0.0000

---

(3)
This record from the Alexandria database describes crystalline CaNiPH at its relaxed geometry. The functional is PBE.

The value obtained for the density of states at the Fermi level is 0.357 states/eV per atom. For the total DFT energy (no corrections), the calculation gives -4.88 eV/atom.

Unit cell a=3.8586 b=3.8586 c=7.6651 alpha=90.00 beta=90.00 gamma=90.00
Element x y z (fractional)
1 Ca 0.2500 0.2500 0.1607
2 Ca 0.7500 0.7500 0.8393
3 Ni 0.2500 0.7500 0.5000
4 Ni 0.7500 0.2500 0.5000
5 P 0.2500 0.2500 0.6514
6 P 0.7500 0.7500 0.3486
7 H 0.2500 0.7500 0.0000
8 H 0.7500 0.2500 0.0000

---

Which formula does entry 2 have? Tb2Pr6Sc